Density functional theory data (GGA-PBE) for LiNbInNi after structural relaxation.

## Properties
- Size of the total moment: 1.05 μB/f.u.
- Energy above the lowest structure with this stoichiometry: 343 meV/atom
- Space-group type: No. 216
- V: 64 Å³ per cell

Cell lengths 4.4862, 4.4862, 4.4862 Å; angles 60.00, 60.00, 60.00 degrees
Fractional positions:
Li  0.0000  0.0000  0.0000
Nb  0.2500  0.2500  0.2500
In  0.5000  0.5000  0.5000
Ni  0.7500  0.7500  0.7500